(1)
Below is a geometry-optimized CaNiOF2 structure, with properties calculated at the PBE with a Hubbard U level.

Lattice parameters (Å, degrees): 4.2108 4.2108 4.5732 90.00 90.00 90.00
Closest atoms and distances in Å follow each position.
Sites, in units of the cell vectors:
Ni (0.5000, 0.5000, 0.5000)  4 O 2.98, 8 F 3.11
Ca (0.0000, 0.0000, 0.0000)  4 F 2.11, 2 O 2.29
O (0.0000, 0.0000, 0.5000)  2 Ca 2.29
F (0.0000, 0.5000, 0.0000)  2 Ca 2.11
F (0.5000, 0.0000, 0.0000)  2 Ca 2.11

As for the crystal system: tetragonal. For the magnetization, the calculation gives 2.00 μB per cell.

---

(2)
Below is a geometry-optimized CaNiOF2 structure, with properties calculated at the PBE with a Hubbard U level.

Lattice parameters (Å, degrees): 3.9076 3.9076 4.0398 90.00 90.00 90.00
Closest atoms and distances in Å follow each position.
Sites, in units of the cell vectors:
Ni (0.0000, 0.0000, 0.0000)  4 F 1.95, 2 O 2.02
Ca (0.5000, 0.5000, 0.5000)  4 O 2.76, 8 F 2.81
O (0.0000, 0.0000, 0.5000)  2 Ni 2.02
F (0.0000, 0.5000, 0.0000)  2 Ni 1.95
F (0.5000, 0.0000, 0.0000)  2 Ni 1.95

As for the crystal system: tetragonal. For the magnetization, the calculation gives 2.00 μB per cell.

---

Preferred: (2); penalty for the next structure: 0.775 eV/atom.